# 1
Below is Li3SbN after structural relaxation, with properties calculated at the PBEsol level.

Results
magnetic moment: 0.00 μB per formula unit
final energy: -3.956 eV/atom
volume: 66.3 Å³/cell

The structure in CIF format:
```
data_Li3SbN
_chemical_formula_sum 'Li3 Sb1 N1'
_cell_length_a 4.047
_cell_length_b 4.047
_cell_length_c 4.047
_cell_angle_alpha 90.00
_cell_angle_beta 90.00
_cell_angle_gamma 90.00
_symmetry_space_group_name_H-M 'P 1'
_symmetry_Int_Tables_number 1
loop_
_symmetry_equiv_pos_as_xyz
'x,y,z'
loop_
_atom_site_label
_atom_site_fract_x
_atom_site_fract_y
_atom_site_fract_z
Li1 0.000 0.500 0.000
Li2 0.500 0.000 0.000
Li3 0.000 0.000 0.500
Sb1 0.500 0.500 0.500
N1 0.000 0.000 0.000
```

***

# 2
Below is Li2SbN after structural relaxation, with properties calculated at the PBEsol level.

Results
magnetic moment: 0.00 μB per formula unit
final energy: -3.795 eV/atom
volume: 55.3 Å³/cell

The structure in CIF format:
```
data_Li2SbN
_chemical_formula_sum 'Li2 Sb1 N1'
_cell_length_a 4.278
_cell_length_b 4.278
_cell_length_c 4.278
_cell_angle_alpha 60.00
_cell_angle_beta 60.00
_cell_angle_gamma 60.00
_symmetry_space_group_name_H-M 'P 1'
_symmetry_Int_Tables_number 1
loop_
_symmetry_equiv_pos_as_xyz
'x,y,z'
loop_
_atom_site_label
_atom_site_fract_x
_atom_site_fract_y
_atom_site_fract_z
Sb1 0.500 0.500 0.500
Li1 0.750 0.750 0.750
Li2 0.250 0.250 0.250
N1 0.000 0.000 0.000
```

***

# 3
Below is LiScN2 after structural relaxation, with properties calculated at the PBEsol level.

Results
magnetic moment: 0.00 μB per formula unit
final energy: -5.667 eV/atom
volume: 54.2 Å³/cell

The structure in CIF format:
```
data_LiScN2
_chemical_formula_sum 'Li1 Sc1 N2'
_cell_length_a 3.418
_cell_length_b 3.418
_cell_length_c 5.709
_cell_angle_alpha 72.58
_cell_angle_beta 72.58
_cell_angle_gamma 60.00
_symmetry_space_group_name_H-M 'P 1'
_symmetry_Int_Tables_number 1
loop_
_symmetry_equiv_pos_as_xyz
'x,y,z'
loop_
_atom_site_label
_atom_site_fract_x
_atom_site_fract_y
_atom_site_fract_z
Li1 0.500 0.500 0.500
N1 0.117 0.117 0.649
N2 0.883 0.883 0.351
Sc1 0.000 0.000 0.000
```

***

# 4
Below is LiScN3 after structural relaxation, with properties calculated at the PBEsol level.

Results
magnetic moment: 0.57 μB per formula unit
final energy: -5.994 eV/atom
volume: 69.7 Å³/cell

The structure in CIF format:
```
data_LiScN3
_chemical_formula_sum 'Li1 Sc1 N3'
_cell_length_a 4.115
_cell_length_b 4.115
_cell_length_c 4.115
_cell_angle_alpha 90.00
_cell_angle_beta 90.00
_cell_angle_gamma 90.00
_symmetry_space_group_name_H-M 'P 1'
_symmetry_Int_Tables_number 1
loop_
_symmetry_equiv_pos_as_xyz
'x,y,z'
loop_
_atom_site_label
_atom_site_fract_x
_atom_site_fract_y
_atom_site_fract_z
N1 0.500 0.000 0.000
N2 0.000 0.000 0.500
N3 0.000 0.500 0.000
Li1 0.500 0.500 0.500
Sc1 0.000 0.000 0.000
```

***

# 5
Below is LiScTe2N after structural relaxation, with properties calculated at the PBEsol level.

Results
magnetic moment: 0.00 μB per formula unit
final energy: -4.966 eV/atom
volume: 127.4 Å³/cell

The structure in CIF format:
```
data_LiScTe2N
_chemical_formula_sum 'Li1 Sc1 Te2 N1'
_cell_length_a 3.848
_cell_length_b 5.754
_cell_length_c 5.754
_cell_angle_alpha 90.00
_cell_angle_beta 90.00
_cell_angle_gamma 90.00
_symmetry_space_group_name_H-M 'P 1'
_symmetry_Int_Tables_number 1
loop_
_symmetry_equiv_pos_as_xyz
'x,y,z'
loop_
_atom_site_label
_atom_site_fract_x
_atom_site_fract_y
_atom_site_fract_z
Te1 0.000 0.500 0.000
Te2 0.000 0.000 0.500
Li1 0.500 0.500 0.500
Sc1 0.000 0.000 0.000
N1 0.500 0.000 0.000
```

***

# 6
Below is LiTaSe2N after structural relaxation, with properties calculated at the PBEsol level.

Results
magnetic moment: 0.00 μB per formula unit
final energy: -5.395 eV/atom
volume: 71.6 Å³/cell

The structure in CIF format:
```
data_LiTaSe2N
_chemical_formula_sum 'Li1 Ta1 Se2 N1'
_cell_length_a 3.385
_cell_length_b 4.600
_cell_length_c 4.600
_cell_angle_alpha 90.00
_cell_angle_beta 90.00
_cell_angle_gamma 90.00
_symmetry_space_group_name_H-M 'P 1'
_symmetry_Int_Tables_number 1
loop_
_symmetry_equiv_pos_as_xyz
'x,y,z'
loop_
_atom_site_label
_atom_site_fract_x
_atom_site_fract_y
_atom_site_fract_z
N1 0.500 0.000 0.000
Se1 0.000 0.500 0.000
Se2 0.000 0.000 0.500
Ta1 0.500 0.500 0.500
Li1 0.000 0.000 0.000
```

***

# 7
Below is LiTeSe2N after structural relaxation, with properties calculated at the PBEsol level.

Results
magnetic moment: 2.00 μB per formula unit
final energy: -3.593 eV/atom
volume: 88.5 Å³/cell

The structure in CIF format:
```
data_LiTeSe2N
_chemical_formula_sum 'Li1 Te1 Se2 N1'
_cell_length_a 3.744
_cell_length_b 4.861
_cell_length_c 4.861
_cell_angle_alpha 90.00
_cell_angle_beta 90.00
_cell_angle_gamma 90.00
_symmetry_space_group_name_H-M 'P 1'
_symmetry_Int_Tables_number 1
loop_
_symmetry_equiv_pos_as_xyz
'x,y,z'
loop_
_atom_site_label
_atom_site_fract_x
_atom_site_fract_y
_atom_site_fract_z
Te1 0.500 0.500 0.500
N1 0.500 0.000 0.000
Se1 0.000 0.500 0.000
Se2 0.000 0.000 0.500
Li1 0.000 0.000 0.000
```

***

# 8
Below is LiTe2SeN after structural relaxation, with properties calculated at the PBEsol level.

Results
magnetic moment: 0.00 μB per formula unit
final energy: -3.521 eV/atom
volume: 91.1 Å³/cell

The structure in CIF format:
```
data_LiTe2SeN
_chemical_formula_sum 'Li1 Te2 Se1 N1'
_cell_length_a 3.537
_cell_length_b 5.076
_cell_length_c 5.076
_cell_angle_alpha 90.00
_cell_angle_beta 90.00
_cell_angle_gamma 90.00
_symmetry_space_group_name_H-M 'P 1'
_symmetry_Int_Tables_number 1
loop_
_symmetry_equiv_pos_as_xyz
'x,y,z'
loop_
_atom_site_label
_atom_site_fract_x
_atom_site_fract_y
_atom_site_fract_z
Te1 0.000 0.500 0.000
Te2 0.000 0.000 0.500
Se1 0.500 0.500 0.500
Li1 0.000 0.000 0.000
N1 0.500 0.000 0.000
```

***

# 9
Below is LiTlSe2N after structural relaxation, with properties calculated at the PBEsol level.

Results
magnetic moment: 2.49 μB per formula unit
final energy: -3.462 eV/atom
volume: 93.8 Å³/cell

The structure in CIF format:
```
data_LiTlSe2N
_chemical_formula_sum 'Li1 Tl1 Se2 N1'
_cell_length_a 3.925
_cell_length_b 4.889
_cell_length_c 4.889
_cell_angle_alpha 90.00
_cell_angle_beta 90.00
_cell_angle_gamma 90.00
_symmetry_space_group_name_H-M 'P 1'
_symmetry_Int_Tables_number 1
loop_
_symmetry_equiv_pos_as_xyz
'x,y,z'
loop_
_atom_site_label
_atom_site_fract_x
_atom_site_fract_y
_atom_site_fract_z
N1 0.500 0.000 0.000
Se1 0.000 0.000 0.500
Se2 0.000 0.500 0.000
Li1 0.000 0.000 0.000
Tl1 0.500 0.500 0.500
```

***

# 10
Below is LiZrSe2N after structural relaxation, with properties calculated at the PBEsol level.

Results
magnetic moment: 1.76 μB per formula unit
final energy: -5.893 eV/atom
volume: 114.1 Å³/cell

The structure in CIF format:
```
data_LiZrSe2N
_chemical_formula_sum 'Li1 Zr1 Se2 N1'
_cell_length_a 4.144
_cell_length_b 5.248
_cell_length_c 5.248
_cell_angle_alpha 90.00
_cell_angle_beta 90.00
_cell_angle_gamma 90.00
_symmetry_space_group_name_H-M 'P 1'
_symmetry_Int_Tables_number 1
loop_
_symmetry_equiv_pos_as_xyz
'x,y,z'
loop_
_atom_site_label
_atom_site_fract_x
_atom_site_fract_y
_atom_site_fract_z
Zr1 0.000 0.000 0.000
Li1 0.500 0.500 0.500
Se1 0.000 0.000 0.500
Se2 0.000 0.500 0.000
N1 0.500 0.000 0.000
```

***

# 11
Below is Li2SiN after structural relaxation, with properties calculated at the PBEsol level.

Results
magnetic moment: 0.00 μB per formula unit
final energy: -4.720 eV/atom
volume: 100.2 Å³/cell

The structure in CIF format:
```
data_Li2SiN
_chemical_formula_sum 'Li4 Si2 N2'
_cell_length_a 3.606
_cell_length_b 5.572
_cell_length_c 5.572
_cell_angle_alpha 83.99
_cell_angle_beta 71.12
_cell_angle_gamma 71.12
_symmetry_space_group_name_H-M 'P 1'
_symmetry_Int_Tables_number 1
loop_
_symmetry_equiv_pos_as_xyz
'x,y,z'
loop_
_atom_site_label
_atom_site_fract_x
_atom_site_fract_y
_atom_site_fract_z
N1 0.500 0.000 0.000
N2 0.250 0.500 0.500
Li1 0.375 0.362 0.138
Li2 0.263 0.862 0.362
Li3 0.875 0.638 0.862
Li4 0.487 0.138 0.638
Si1 0.000 0.000 0.000
Si2 0.750 0.500 0.500
```

***

# 12
Below is LiZnSi2N after structural relaxation, with properties calculated at the PBEsol level.

Results
magnetic moment: 0.00 μB per formula unit
final energy: -3.673 eV/atom
volume: 68.9 Å³/cell

The structure in CIF format:
```
data_LiZnSi2N
_chemical_formula_sum 'Li1 Zn1 Si2 N1'
_cell_length_a 3.370
_cell_length_b 4.522
_cell_length_c 4.522
_cell_angle_alpha 90.00
_cell_angle_beta 90.00
_cell_angle_gamma 90.00
_symmetry_space_group_name_H-M 'P 1'
_symmetry_Int_Tables_number 1
loop_
_symmetry_equiv_pos_as_xyz
'x,y,z'
loop_
_atom_site_label
_atom_site_fract_x
_atom_site_fract_y
_atom_site_fract_z
Si1 0.000 0.000 0.500
Si2 0.000 0.500 0.000
N1 0.500 0.000 0.000
Li1 0.000 0.000 0.000
Zn1 0.500 0.500 0.500
```

***

# 13
Below is Li2SnN after structural relaxation, with properties calculated at the PBEsol level.

Results
magnetic moment: 0.00 μB per formula unit
final energy: -3.758 eV/atom
volume: 54.5 Å³/cell

The structure in CIF format:
```
data_Li2SnN
_chemical_formula_sum 'Li2 Sn1 N1'
_cell_length_a 4.255
_cell_length_b 4.255
_cell_length_c 4.255
_cell_angle_alpha 60.00
_cell_angle_beta 60.00
_cell_angle_gamma 60.00
_symmetry_space_group_name_H-M 'P 1'
_symmetry_Int_Tables_number 1
loop_
_symmetry_equiv_pos_as_xyz
'x,y,z'
loop_
_atom_site_label
_atom_site_fract_x
_atom_site_fract_y
_atom_site_fract_z
Sn1 0.500 0.500 0.500
N1 0.000 0.000 0.000
Li1 0.750 0.750 0.750
Li2 0.250 0.250 0.250
```